# 1
K3Ga2Au3: optimized geometry, GGA-PBE.

```
16
Lattice="2.000 -6.255 0.000 2.000 6.255 0.000 0.000 0.000 19.195" Properties=species:S:1:pos:R:3 pbc="T T T"
K 2.000 5.554 14.396
K 2.000 4.671 10.513
K 2.000 4.671 18.280
K 2.000 -4.671 0.915
K 2.000 -4.671 8.683
K 2.000 -5.554 4.799
Ga 2.000 3.777 3.037
Ga 2.000 3.777 6.561
Ga 2.000 -3.777 12.635
Ga 2.000 -3.777 16.158
Au 2.000 2.198 14.396
Au 2.000 1.163 11.571
Au 2.000 1.163 17.221
Au 2.000 -1.163 1.974
Au 2.000 -1.163 7.624
Au 2.000 -2.198 4.799
```

As for the formation energy: -23 kJ/mol of atoms.

=====

# 2
Ce2CdSn: optimized geometry, GGA-PBE.

```
4
Lattice="4.837 0.000 0.000 0.000 4.837 0.000 0.000 0.000 4.609" Properties=species:S:1:pos:R:3 pbc="T T T"
Ce 0.000 2.418 0.000
Ce 2.418 0.000 0.000
Cd 0.000 0.000 2.304
Sn 2.418 2.418 2.304
```

As for the formation energy: -38 kJ/mol of atoms.

=====

# 3
TiSi2Ru: optimized geometry, GGA-PBE.

```
4
Lattice="2.890 0.000 0.000 0.000 2.890 0.000 0.000 0.000 6.579" Properties=species:S:1:pos:R:3 pbc="T T T"
Ti 0.000 0.000 0.000
Si 1.445 1.445 1.814
Si 1.445 1.445 4.765
Ru 0.000 0.000 3.289
```

As for the formation energy from raw total energies: -0.578 eV/atom.

=====

# 4
CsSe2S2: optimized geometry, GGA-PBE.

```
10
Lattice="9.573 0.000 0.000 0.000 9.573 0.000 0.000 0.000 3.990" Properties=species:S:1:pos:R:3 pbc="T T T"
Cs 0.000 0.000 0.000
Cs 4.786 4.786 0.000
Se 1.452 3.335 0.000
Se 3.335 8.121 0.000
Se 6.238 1.452 0.000
Se 8.121 6.238 0.000
S 2.293 2.494 1.995
S 2.494 7.280 1.995
S 7.079 2.293 1.995
S 7.280 7.079 1.995
```

As for the formation energy from raw total energies: -0.255 eV/atom.

=====

no.,D(E_F) (states/eV/f.u.),VASP energy (eV per atom)
1,3.172,-2.64
2,11.392,-4.59
3,1.041,-7.58
4,3.790,-3.47